A plane-wave DFT calculation with GGA-PBE was carried out for a relaxed structure of NaAc2TiO6.

abc: 4.871 5.660 5.660
angles: 90.00 90.00 90.00
Site moments in Bohr magnetons follow the coordinates.
Sites, in units of the cell vectors:
Na1 0.587 0.500 0.500  0.00
Ac1 0.016 0.500 0.000  0.00
Ac2 0.016 0.000 0.500  0.00
Ti1 0.598 0.000 0.000  -0.01
O1 0.719 0.230 0.230  0.10
O2 0.719 0.230 0.770  0.10
O3 0.129 0.500 0.500  0.45
O4 0.223 0.000 0.000  0.01
O5 0.719 0.770 0.770  0.10
O6 0.719 0.770 0.230  0.10

Values from the calculation:
DOS(E_F), states/eV/cell: 6.64
M_tot, μB/f.u.: 1.0
Uncorrected energy, eV/f.u.: -74.67
Calculated volume, Å³/f.u.: 156